Below is a relaxed structure of ScCd3Cl, with properties calculated at the GGA-PBE level.

Results
- symmetry = Pm-3m, No. 221
- total energy (eV/atom) = -1.7531
- mass density (kg/m3) = 4666
- N(E_F) (states/eV/atom) = 1.196

Cell: 5.297 5.297 5.297 Å, 90.00 90.00 90.00°
Sites, in units of the cell vectors:
Sc (0.000, 0.000, 0.000)
Cd (0.000, 0.500, 0.500)
Cd (0.500, 0.000, 0.500)
Cd (0.500, 0.500, 0.000)
Cl (0.500, 0.500, 0.500)

***

Below is a relaxed structure of ScCd2SeCl, with properties calculated at the GGA-PBE level.

Results
- symmetry = P4/mmm, No. 123
- total energy (eV/atom) = -2.8387
- mass density (kg/m3) = 4116
- N(E_F) (states/eV/atom) = 0.729

Cell: 5.567 5.567 5.002 Å, 90.00 90.00 90.00°
Sites, in units of the cell vectors:
Sc (0.000, 0.000, 0.000)
Cd (0.000, 0.500, 0.500)
Cd (0.500, 0.000, 0.500)
Se (0.000, 0.000, 0.500)
Cl (0.500, 0.500, 0.000)

***

Below is a relaxed structure of ScTlCd2Cl8, with properties calculated at the GGA-PBE level.

Results
- symmetry = P-1, No. 2
- total energy (eV/atom) = -3.4808
- mass density (kg/m3) = 3558
- N(E_F) (states/eV/atom) = 0.000

Cell: 6.427 6.443 8.919 Å, 80.21 79.81 79.35°
Sites, in units of the cell vectors:
Sc (0.000, 0.000, 0.000)
Tl (0.000, 0.000, 0.500)
Cd (0.438, 0.444, 0.728)
Cd (0.562, 0.556, 0.272)
Cl (0.188, 0.762, 0.206)
Cl (0.248, 0.263, 0.981)
Cl (0.250, 0.824, 0.790)
Cl (0.319, 0.335, 0.501)
Cl (0.681, 0.665, 0.499)
Cl (0.750, 0.176, 0.210)
Cl (0.752, 0.737, 0.019)
Cl (0.812, 0.238, 0.794)